# Dy2ErAg

Crystalline Dy2ErAg at its relaxed geometry (PBE, Alexandria).

```
Dy2ErAg
1.0
3.7132 0.0000 0.0000
0.0000 5.4115 0.0000
0.0000 0.0000 5.4115
Er Ag Dy
1 1 2
direct
0.5000 0.5000 0.5000
0.5000 0.0000 0.0000
0.0000 0.0000 0.5000
0.0000 0.5000 0.0000
```

E_form (meV per atom): -6
Space-group type: P4/mmm
Energy (eV/atom): -4.160



# Tb4In3Sn

Crystalline Tb4In3Sn at its relaxed geometry (PBE, Alexandria).

```
Tb4In3Sn
1.0
5.5543 0.0000 0.0000
0.0000 7.0959 0.0000
0.0000 0.0000 10.8612
Tb In Sn
8 6 2
direct
0.5000 0.7498 0.5000
0.0855 0.7494 0.7500
0.9145 0.2506 0.2500
0.5000 0.2502 0.5000
0.9145 0.7494 0.2500
0.5000 0.7498 0.0000
0.0855 0.2506 0.7500
0.5000 0.2502 0.0000
0.5961 0.0000 0.7500
0.4079 0.5000 0.2500
0.0000 0.0000 0.5000
0.0000 0.0000 0.0000
0.5921 0.5000 0.7500
0.4039 0.0000 0.2500
0.0000 0.5000 0.0000
0.0000 0.5000 0.5000
```

E_form (meV per atom): -506
Space-group type: Pmma
Energy (eV/atom): -4.349



# LiPuTlPd

Crystalline LiPuTlPd at its relaxed geometry (PBE, Alexandria).

```
LiPuTlPd
1.0
4.8947 0.0000 0.0000
2.4474 4.2390 0.0000
2.4474 1.4130 3.9965
Li Pd Pu Tl
1 1 1 1
direct
0.0000 0.0000 0.0000
0.5000 0.5000 0.5000
0.2500 0.2500 0.2500
0.7500 0.7500 0.7500
```

E_form (meV per atom): -187
Space-group type: F-43m
Energy (eV/atom): -6.138



# BaSrLa2Ir

Crystalline BaSrLa2Ir at its relaxed geometry (PBE, Alexandria).

```
BaSrLa2Ir
1.0
-0.4474 3.6721 4.3289
-0.8945 -4.3337 3.5837
6.3629 -0.4523 1.0413
La Ba Sr Ir
2 1 1 1
direct
0.5000 0.0000 0.0000
0.0000 0.5000 0.0000
0.0000 0.0000 0.5000
0.5000 0.5000 0.5000
0.0000 0.0000 0.0000
```

E_form (meV per atom): -254
Space-group type: P4/mmm
Energy (eV/atom): -4.718



Q: What is the energy in the second record?
A: -4.349 eV/atom



Q: Among the records above, which one has the highest energy?
A: Dy2ErAg



Q: Look up the E_form of the third one.
A: -187 meV per atom



Q: Among the records above, which one has the lowest energy?
A: LiPuTlPd